Record 1
Material: Er2BiSe
Method: DFT, GGA-PBE
State: relaxed

abc: 7.361 7.361 7.361
angles: 33.50 33.50 33.50
Positions (direct):
Er1 0.243 0.243 0.243
Er2 0.757 0.757 0.757
Bi1 0.000 0.000 0.000
Se1 0.500 0.500 0.500

Computed properties:
As for the crystal system: trigonal. Its density of states at the Fermi level is 2.0 states/eV/f.u. The energy above the most stable polymorph in this dataset is 0.000 eV/atom.

Record 2
Material: Er5BiSe5
Method: DFT, GGA-PBE
State: relaxed

abc: 7.088 7.088 8.227
angles: 106.58 106.58 48.75
Positions (direct):
Er1 0.000 0.000 0.000
Er2 0.330 0.330 0.652
Er3 0.332 0.332 0.181
Er4 0.668 0.668 0.819
Er5 0.670 0.670 0.348
Bi1 0.500 0.500 0.000
Se1 0.162 0.162 0.334
Se2 0.171 0.171 0.838
Se3 0.500 0.500 0.500
Se4 0.829 0.829 0.162
Se5 0.838 0.838 0.666

Computed properties:
As for the crystal system: monoclinic. Its density of states at the Fermi level is 3.6 states/eV/f.u.

Record 3
Material: Er3Bi2Se
Method: DFT, GGA-PBE
State: relaxed

abc: 14.300 13.631 7.483
angles: 79.46 69.57 30.96
Positions (direct):
Er1 0.041 0.537 0.199
Er2 0.109 0.641 0.641
Er3 0.199 0.724 0.041
Er4 0.276 0.801 0.463
Er5 0.359 0.891 0.891
Er6 0.463 0.959 0.276
Er7 0.537 0.041 0.724
Er8 0.641 0.109 0.109
Er9 0.724 0.199 0.537
Er10 0.801 0.276 0.959
Er11 0.891 0.359 0.359
Er12 0.959 0.463 0.801
Bi1 0.127 0.127 0.623
Bi2 0.294 0.294 0.456
Bi3 0.377 0.377 0.873
Bi4 0.456 0.456 0.294
Bi5 0.544 0.544 0.706
Bi6 0.623 0.623 0.127
Bi7 0.706 0.706 0.544
Bi8 0.873 0.873 0.377
Se1 0.042 0.042 0.208
Se2 0.208 0.208 0.042
Se3 0.792 0.792 0.958
Se4 0.958 0.958 0.792

Computed properties:
As for the crystal system: orthorhombic. Its density of states at the Fermi level is 1.6 states/eV/f.u.

Record 4
Material: ErBiSe
Method: DFT, GGA-PBE
State: relaxed

abc: 7.210 7.210 7.210
angles: 90.00 90.00 90.00
Positions (direct):
Er1 0.030 0.030 0.030
Er2 0.470 0.970 0.530
Er3 0.530 0.470 0.970
Er4 0.970 0.530 0.470
Bi1 0.123 0.623 0.877
Bi2 0.377 0.377 0.377
Bi3 0.623 0.877 0.123
Bi4 0.877 0.123 0.623
Se1 0.104 0.896 0.396
Se2 0.396 0.104 0.896
Se3 0.604 0.604 0.604
Se4 0.896 0.396 0.104

Computed properties:
As for the crystal system: cubic.

Record 5
Material: Er4BiSe2
Method: DFT, GGA-PBE
State: relaxed

abc: 13.696 13.696 13.696
angles: 16.97 16.97 16.97
Positions (direct):
Er1 0.133 0.133 0.133
Er2 0.284 0.284 0.284
Er3 0.716 0.716 0.716
Er4 0.867 0.867 0.867
Bi1 0.000 0.000 0.000
Se1 0.423 0.423 0.423
Se2 0.577 0.577 0.577

Computed properties:
As for the crystal system: trigonal. Its density of states at the Fermi level is 6.1 states/eV/f.u. The energy above the most stable polymorph in this dataset is 0.044 eV/atom.

Record 6
Material: Er4BiSe2
Method: DFT, GGA-PBE
State: relaxed

abc: 6.893 6.893 13.754
angles: 90.00 90.00 145.39
Positions (direct):
Er1 0.000 0.000 0.000
Er2 0.000 0.000 0.500
Er3 0.269 0.731 0.622
Er4 0.269 0.731 0.878
Er5 0.425 0.575 0.250
Er6 0.575 0.425 0.750
Er7 0.731 0.269 0.122
Er8 0.731 0.269 0.378
Bi1 0.102 0.898 0.250
Bi2 0.898 0.102 0.750
Se1 0.364 0.636 0.058
Se2 0.364 0.636 0.442
Se3 0.636 0.364 0.558
Se4 0.636 0.364 0.942

Computed properties:
As for the crystal system: orthorhombic. Its density of states at the Fermi level is 3.7 states/eV/f.u. The energy above the most stable polymorph in this dataset is 0.000 eV/atom.

Record 7
Material: ErBiSe
Method: DFT, GGA-PBE
State: relaxed

abc: 6.537 6.537 6.537
angles: 147.22 147.22 47.04
Positions (direct):
Er1 0.000 0.000 0.000
Bi1 0.306 0.306 0.000
Se1 0.592 0.592 0.000

Computed properties:
As for the crystal system: tetragonal. Its density of states at the Fermi level is 2.2 states/eV/f.u.

Record 8
Material: Er4BiSe3
Method: DFT, GGA-PBE
State: relaxed

abc: 7.186 7.186 4.137
angles: 90.00 90.00 109.25
Positions (direct):
Er1 0.229 0.229 0.500
Er2 0.240 0.760 0.000
Er3 0.760 0.240 0.000
Er4 0.771 0.771 0.500
Bi1 0.500 0.500 0.000
Se1 0.000 0.000 0.000
Se2 0.000 0.500 0.500
Se3 0.500 0.000 0.500

Computed properties:
As for the crystal system: orthorhombic. Its density of states at the Fermi level is 3.2 states/eV/f.u.

Record 9
Material: Er4Bi3Se
Method: DFT, GGA-PBE
State: relaxed

abc: 7.532 8.733 7.530
angles: 90.00 109.52 90.00
Positions (direct):
Er1 0.240 0.119 0.001
Er2 0.240 0.881 0.501
Er3 0.246 0.369 0.494
Er4 0.246 0.631 0.994
Er5 0.754 0.369 0.006
Er6 0.754 0.631 0.506
Er7 0.760 0.119 0.499
Er8 0.760 0.881 0.999
Bi1 0.000 0.374 0.750
Bi2 0.000 0.626 0.250
Bi3 0.500 0.124 0.750
Bi4 0.500 0.374 0.250
Bi5 0.500 0.626 0.750
Bi6 0.500 0.876 0.250
Se1 0.000 0.122 0.250
Se2 0.000 0.878 0.750

Computed properties:
As for the crystal system: monoclinic. Its density of states at the Fermi level is 1.1 states/eV/f.u.

Record 10
Material: Er5BiSe4
Method: DFT, GGA-PBE
State: relaxed

abc: 7.150 7.150 10.070
angles: 118.00 118.00 33.46
Positions (direct):
Er1 0.000 0.000 0.000
Er2 0.207 0.207 0.817
Er3 0.392 0.392 0.612
Er4 0.608 0.608 0.388
Er5 0.793 0.793 0.183
Bi1 0.000 0.000 0.500
Se1 0.205 0.205 0.294
Se2 0.406 0.406 0.104
Se3 0.594 0.594 0.896
Se4 0.795 0.795 0.706

Computed properties:
As for the crystal system: monoclinic. Its density of states at the Fermi level is 3.5 states/eV/f.u.

Record 11
Material: ErBi3Se6
Method: DFT, GGA-PBE
State: relaxed

abc: 12.171 4.117 12.258
angles: 90.00 107.41 90.00
Positions (direct):
Er1 0.187 0.250 0.037
Er2 0.813 0.750 0.963
Bi1 0.025 0.750 0.299
Bi2 0.337 0.250 0.430
Bi3 0.405 0.750 0.850
Bi4 0.595 0.250 0.150
Bi5 0.663 0.750 0.570
Bi6 0.975 0.250 0.701
Se1 0.036 0.750 0.902
Se2 0.116 0.250 0.465
Se3 0.224 0.750 0.228
Se4 0.243 0.250 0.811
Se5 0.383 0.750 0.070
Se6 0.414 0.750 0.593
Se7 0.586 0.250 0.407
Se8 0.617 0.250 0.930
Se9 0.757 0.750 0.189
Se10 0.776 0.250 0.772
Se11 0.884 0.750 0.535
Se12 0.964 0.250 0.098

Computed properties:
As for the crystal system: monoclinic.

Record 12
Material: Er6Si2BiSe3
Method: DFT, GGA-PBE
State: relaxed

abc: 9.248 9.248 8.325
angles: 102.43 102.43 25.85
Positions (direct):
Er1 0.008 0.008 0.266
Er2 0.327 0.327 0.894
Er3 0.328 0.328 0.424
Er4 0.672 0.672 0.576
Er5 0.673 0.673 0.106
Er6 0.992 0.992 0.734
Si1 0.168 0.168 0.337
Si2 0.832 0.832 0.663
Bi1 0.500 0.500 0.000
Se1 0.164 0.164 0.834
Se2 0.500 0.500 0.500
Se3 0.836 0.836 0.166

Computed properties:
As for the crystal system: monoclinic. Its density of states at the Fermi level is 2.3 states/eV/f.u.

Record 13
Material: SmErBiSe
Method: DFT, GGA-PBE
State: relaxed

abc: 7.943 7.943 7.943
angles: 30.67 30.67 30.67
Positions (direct):
Sm1 0.000 0.000 0.000
Er1 0.163 0.163 0.163
Bi1 0.578 0.578 0.578
Se1 0.753 0.753 0.753

Computed properties:
As for the crystal system: trigonal. Its density of states at the Fermi level is 1.7 states/eV/f.u.

Record 14
Material: Er6Sn2BiSe3
Method: DFT, GGA-PBE
State: relaxed

abc: 9.446 9.446 8.462
angles: 102.47 102.47 25.92
Positions (direct):
Er1 0.001 0.001 0.262
Er2 0.329 0.329 0.915
Er3 0.334 0.334 0.414
Er4 0.666 0.666 0.586
Er5 0.671 0.671 0.085
Er6 0.999 0.999 0.738
Sn1 0.167 0.167 0.334
Sn2 0.833 0.833 0.666
Bi1 0.500 0.500 0.000
Se1 0.165 0.165 0.834
Se2 0.500 0.500 0.500
Se3 0.835 0.835 0.166

Computed properties:
As for the crystal system: monoclinic. Its density of states at the Fermi level is 2.8 states/eV/f.u.

Record 15
Material: Er4SnBiSe2
Method: DFT, GGA-PBE
State: relaxed

abc: 7.308 4.243 7.360
angles: 90.00 109.52 90.00
Positions (direct):
Er1 0.238 0.000 0.239
Er2 0.242 0.500 0.753
Er3 0.758 0.500 0.247
Er4 0.762 0.000 0.761
Sn1 0.500 0.000 0.000
Bi1 0.500 0.500 0.500
Se1 0.000 0.000 0.500
Se2 0.000 0.500 0.000

Computed properties:
As for the crystal system: monoclinic. Its density of states at the Fermi level is 1.6 states/eV/f.u.

Record 16
Material: TbErBiSe
Method: DFT, GGA-PBE
State: relaxed

abc: 7.884 7.884 7.884
angles: 30.64 30.64 30.64
Positions (direct):
Tb1 0.000 0.000 0.000
Er1 0.163 0.163 0.163
Bi1 0.579 0.579 0.579
Se1 0.751 0.751 0.751

Computed properties:
As for the crystal system: trigonal. Its density of states at the Fermi level is 1.9 states/eV/f.u.

Record 17
Material: Er6BiTe3Se2
Method: DFT, GGA-PBE
State: relaxed

abc: 7.326 7.326 7.439
angles: 99.49 99.49 120.02
Positions (direct):
Er1 0.070 0.423 0.773
Er2 0.217 0.217 0.219
Er3 0.423 0.070 0.773
Er4 0.577 0.930 0.227
Er5 0.783 0.783 0.781
Er6 0.930 0.577 0.227
Bi1 0.500 0.500 0.000
Te1 0.000 0.000 0.500
Te2 0.341 0.659 0.500
Te3 0.659 0.341 0.500
Se1 0.169 0.831 0.000
Se2 0.831 0.169 0.000

Computed properties:
As for the crystal system: monoclinic. Its density of states at the Fermi level is 5.3 states/eV/f.u.

Record 18
Material: Er6Bi2Te3Se
Method: DFT, GGA-PBE
State: relaxed

abc: 9.711 9.711 8.635
angles: 102.96 102.96 25.66
Positions (direct):
Er1 0.002 0.002 0.281
Er2 0.336 0.336 0.917
Er3 0.349 0.349 0.425
Er4 0.651 0.651 0.575
Er5 0.664 0.664 0.083
Er6 0.998 0.998 0.719
Bi1 0.167 0.167 0.833
Bi2 0.833 0.833 0.167
Te1 0.171 0.171 0.337
Te2 0.500 0.500 0.000
Te3 0.829 0.829 0.663
Se1 0.500 0.500 0.500

Computed properties:
As for the crystal system: monoclinic. Its density of states at the Fermi level is 3.4 states/eV/f.u.

Record 19
Material: Er4Bi2TeSe
Method: DFT, GGA-PBE
State: relaxed

abc: 7.456 4.330 7.493
angles: 90.00 109.65 90.00
Positions (direct):
Er1 0.234 0.000 0.235
Er2 0.242 0.500 0.758
Er3 0.758 0.500 0.242
Er4 0.766 0.000 0.765
Bi1 0.500 0.000 0.000
Bi2 0.500 0.500 0.500
Te1 0.000 0.000 0.500
Se1 0.000 0.500 0.000

Computed properties:
As for the crystal system: monoclinic. Its density of states at the Fermi level is 3.4 states/eV/f.u.

Record 20
Material: Er6Bi2TeSe3
Method: DFT, GGA-PBE
State: relaxed

abc: 9.470 9.470 8.476
angles: 103.64 103.64 25.66
Positions (direct):
Er1 0.006 0.006 0.230
Er2 0.326 0.326 0.428
Er3 0.339 0.339 0.902
Er4 0.661 0.661 0.098
Er5 0.674 0.674 0.572
Er6 0.994 0.994 0.770
Bi1 0.166 0.166 0.833
Bi2 0.834 0.834 0.167
Te1 0.500 0.500 0.500
Se1 0.166 0.166 0.335
Se2 0.500 0.500 0.000
Se3 0.834 0.834 0.665

Computed properties:
As for the crystal system: monoclinic. Its density of states at the Fermi level is 5.2 states/eV/f.u.

For each record above, in turn, the calculated formation energy (no corrections) values are -1.23; -1.60; -1.09; -0.82; -1.14; -1.19; -0.98; -1.45; -1.02; -1.50; -0.73; -1.27; -1.19; -1.20; -1.21; -1.16; -1.31; -1.17; -1.12; -1.31 eV per atom.